# 1
A relaxed structure of Sm4GaI5, computed with GGA-PBE.

Cell and atoms, written as POSCAR:
```
Sm4GaI5
1.0
9.733 -2.150 0.000
9.733 2.150 0.000
-1.936 0.000 8.768
Ga I Sm
1 5 4
Cartesian
9.733 0.000 0.000
15.780 0.000 1.517
2.594 0.000 2.959
8.765 0.000 4.384
14.936 0.000 5.809
1.751 0.000 7.251
12.482 0.000 0.656
19.043 0.000 1.908
-1.512 0.000 6.860
5.049 0.000 8.112
```

## Properties
SG   No. 12

---

# 2
A relaxed structure of SmDy4Ag5, computed with GGA-PBE.

Cell and atoms, written as POSCAR:
```
SmDy4Ag5
1.0
-0.070 -2.490 2.641
-0.846 -2.558 -2.434
17.765 -3.333 -2.669
Ag Dy Sm
5 4 1
Cartesian
1.424 -2.877 -0.179
4.904 -3.530 -0.702
8.425 -4.190 -1.231
11.946 -4.851 -1.760
15.425 -5.504 -2.282
3.607 -0.677 -0.542
7.123 -1.336 -1.070
10.642 -1.997 -1.599
14.158 -2.656 -2.127
0.000 0.000 0.000
```

## Properties
Formation enthalpy at 0 K   -3.3 eV/f.u.
SG   No. 123

---

# 3
A relaxed structure of SmAlB, computed with GGA-PBE.

Cell and atoms, written as POSCAR:
```
SmAlB
1.0
0.000 3.210 3.210
3.210 0.000 3.210
3.210 3.210 0.000
Al B Sm
1 1 1
Cartesian
1.605 1.605 1.605
4.814 4.814 4.814
0.000 0.000 0.000
```

## Properties
SG   No. 216

---

# 4
A relaxed structure of Si5WC2, computed with GGA-PBE.

Cell and atoms, written as POSCAR:
```
Si5WC2
1.0
-1.400 3.451 0.583
-1.248 -1.079 3.390
7.394 2.409 3.488
C Si W
2 5 1
Cartesian
0.877 1.903 3.025
3.869 2.878 4.436
-1.324 1.186 1.987
0.948 2.262 1.069
1.024 -0.003 2.472
5.046 3.598 3.002
5.122 1.333 4.406
0.000 0.000 0.000
```

## Properties
SG   No. 123

---

# 5
A relaxed structure of SiPt2Au, computed with GGA-PBE.

Cell and atoms, written as POSCAR:
```
SiPt2Au
1.0
2.186 -3.469 -1.805
1.653 -3.223 2.637
-1.869 -4.072 0.002
Au Pt Si
1 2 1
Cartesian
0.493 -2.691 0.209
0.000 0.000 0.000
1.478 -8.073 0.626
0.985 -5.382 0.417
```

## Properties
SG   No. 216

---

# 6
A relaxed structure of HoIrI6, computed with GGA-PBE.

Cell and atoms, written as POSCAR:
```
HoIrI6
1.0
3.656 -6.327 0.000
3.656 6.327 0.000
-2.363 0.000 7.243
Ho I Ir
1 6 1
Cartesian
3.656 -4.228 0.000
5.124 -2.134 1.595
4.772 2.348 1.619
1.040 -0.210 1.638
3.909 -0.210 5.605
0.177 2.348 5.624
-0.175 -2.134 5.648
3.656 4.220 0.000
```

## Properties
SG   No. 5

---

# 7
A relaxed structure of PrIn2Sn, computed with GGA-PBE.

Cell and atoms, written as POSCAR:
```
PrIn2Sn
1.0
-1.624 -4.242 -1.124
-0.919 -0.843 4.510
-4.480 1.864 -0.564
In Pr Sn
2 1 1
Cartesian
-0.812 -2.121 -0.562
-0.460 -0.422 2.255
-2.240 0.932 -0.282
-3.511 -1.611 1.411
```

## Properties
SG   No. 123

---

# 8
A relaxed structure of TmReSb2, computed with GGA-PBE.

Cell and atoms, written as POSCAR:
```
TmReSb2
1.0
-2.545 2.545 8.546
2.545 -2.545 8.546
2.545 2.545 -8.546
Re Sb Tm
2 4 2
Cartesian
0.000 0.000 8.546
2.545 0.000 4.273
-0.869 1.272 10.682
1.272 0.869 6.409
1.272 1.675 -2.136
3.414 1.272 2.136
0.000 0.000 0.000
0.000 2.545 4.273
```

## Properties
SG   No. 122

---

# 9
A relaxed structure of TbNd2F8, computed with GGA-PBE.

Cell and atoms, written as POSCAR:
```
TbNd2F8
1.0
-2.540 2.540 5.805
2.540 -2.540 5.805
2.540 2.540 -5.805
F Nd Tb
8 2 1
Cartesian
-0.728 1.496 5.257
1.262 -0.494 1.902
3.034 -1.278 3.903
1.496 0.728 6.353
1.045 1.813 0.548
2.047 1.278 3.903
3.819 0.494 1.902
3.268 1.045 -0.548
0.000 0.000 3.786
0.000 0.000 7.824
0.000 0.000 0.000
```

## Properties
SG   No. 82

---

# 10
A relaxed structure of TaFeAgB, computed with GGA-PBE.

Cell and atoms, written as POSCAR:
```
TaFeAgB
1.0
1.361 -3.021 -2.643
-1.494 -3.951 0.348
-2.601 -1.551 -2.965
Ag B Fe Ta
1 1 1 1
Cartesian
-0.684 -2.131 -1.315
0.000 0.000 0.000
-2.051 -6.392 -3.945
-1.367 -4.261 -2.630
```

## Properties
SG   No. 216

---

# 11
A relaxed structure of LiInPt2, computed with GGA-PBE.

Cell and atoms, written as POSCAR:
```
LiInPt2
1.0
-0.269 -3.933 1.126
3.543 -0.789 -1.908
1.889 0.782 3.184
In Li Pt
1 1 2
Cartesian
0.000 0.000 0.000
1.637 -2.361 -0.391
0.810 -1.575 2.155
2.716 -0.003 0.638
```

## Properties
SG   No. 123

---

# 12
A relaxed structure of Y2TlCd, computed with GGA-PBE.

Cell and atoms, written as POSCAR:
```
Y2TlCd
1.0
5.326 0.000 0.000
0.000 7.518 0.000
0.000 0.000 15.979
Cd Tl Y
6 6 12
Cartesian
0.000 3.759 0.000
2.663 0.000 2.664
0.000 3.759 5.325
2.663 0.000 7.990
0.000 3.759 10.654
2.663 0.000 13.315
0.000 0.000 0.000
2.663 3.759 2.661
0.000 0.000 5.328
2.663 3.759 7.990
0.000 0.000 10.651
2.663 3.759 13.318
2.663 1.879 0.000
2.663 5.639 0.000
0.000 1.879 2.663
0.000 5.639 2.663
2.663 1.880 5.326
2.663 5.638 5.326
0.000 1.880 7.990
0.000 5.638 7.990
2.663 1.880 10.653
2.663 5.638 10.653
0.000 1.879 13.316
0.000 5.639 13.316
```

## Properties
SG   No. 139

---

# 13
A relaxed structure of NbCoHg, computed with GGA-PBE.

Cell and atoms, written as POSCAR:
```
NbCoHg
1.0
0.000 3.005 3.005
3.005 0.000 3.005
3.005 3.005 0.000
Co Hg Nb
1 1 1
Cartesian
0.000 0.000 0.000
1.502 1.502 1.502
4.507 4.507 4.507
```

## Properties
Formation enthalpy at 0 K   1.2 eV/f.u.
SG   No. 216

---

# 14
A relaxed structure of GdTmPbN, computed with GGA-PBE.

Cell and atoms, written as POSCAR:
```
GdTmPbN
1.0
3.535 0.000 0.000
-1.768 3.062 0.000
0.000 0.000 15.618
Gd N Pb Tm
2 2 2 2
Cartesian
1.768 1.021 2.641
1.768 1.021 12.977
0.000 2.041 4.048
0.000 2.041 11.569
0.000 0.000 0.000
1.768 1.021 7.809
0.000 0.000 5.240
0.000 0.000 10.377
```

## Properties
SG   No. 187

---

# 15
A relaxed structure of TmCl3, computed with GGA-PBE.

Cell and atoms, written as POSCAR:
```
TmCl3
1.0
6.707 0.000 0.000
0.000 9.463 0.000
0.000 0.000 6.028
Cl Tm
12 4
Cartesian
3.046 7.097 1.028
1.088 0.725 1.113
1.088 4.007 1.113
4.442 0.725 1.901
4.442 4.007 1.901
6.400 7.097 1.986
0.307 2.366 4.042
2.265 5.456 4.127
2.265 8.738 4.127
5.619 5.456 4.915
5.619 8.738 4.915
3.661 2.366 5.000
5.882 2.366 0.372
2.528 2.366 2.642
4.179 7.097 3.386
0.825 7.097 5.656
```

## Properties
SG   No. 62

---

# 16
A relaxed structure of ZnMo, computed with GGA-PBE.

Cell and atoms, written as POSCAR:
```
ZnMo
1.0
-0.833 1.151 -4.661
3.549 -3.790 -1.571
-3.316 -3.040 -0.158
Mo Zn
4 4
Cartesian
1.747 -1.865 -0.801
2.263 -2.285 -3.544
-1.438 -1.538 -4.340
1.596 -4.908 -3.168
0.476 -0.376 -2.747
3.537 -3.776 -1.587
-0.166 -3.027 -2.395
0.322 -3.417 -5.125
```

## Properties
Formation enthalpy at 0 K   0.3 eV/f.u.
SG   No. 62

---

# 17
A relaxed structure of TbCd2Ga, computed with GGA-PBE.

Cell and atoms, written as POSCAR:
```
TbCd2Ga
1.0
3.143 -5.859 0.000
3.143 5.859 0.000
0.000 0.000 4.802
Cd Ga Tb
4 2 2
Cartesian
1.624 0.885 1.201
4.662 0.885 1.201
1.624 -0.885 3.602
4.662 -0.885 3.602
3.143 -1.945 1.201
3.143 1.945 3.602
3.143 3.767 1.201
3.143 -3.767 3.602
```

## Properties
SG   No. 63

---

# 18
A relaxed structure of DyHoCu2Sn2, computed with GGA-PBE.

Cell and atoms, written as POSCAR:
```
DyHoCu2Sn2
1.0
4.530 0.000 0.000
-2.265 3.923 0.000
0.000 0.000 7.220
Cu Dy Ho Sn
2 1 1 2
Cartesian
0.000 2.615 0.373
2.265 1.308 4.001
0.000 0.000 1.686
0.000 0.000 5.295
0.000 2.615 3.353
2.265 1.308 6.953
```

## Properties
SG   No. 156

---

# 19
A relaxed structure of TaAlFe, computed with GGA-PBE.

Cell and atoms, written as POSCAR:
```
TaAlFe
1.0
-2.443 -3.706 -3.786
-1.804 -1.892 3.016
-5.848 4.527 -0.658
Al Fe Ta
4 4 4
Cartesian
-2.539 -2.516 0.865
-6.071 -2.579 -1.288
-4.023 1.509 -0.140
-7.556 1.445 -2.293
-4.001 -3.689 -0.746
-4.178 -0.753 0.990
-5.916 -0.318 -2.418
-6.094 2.618 -0.683
-1.505 0.166 0.524
-3.697 -0.936 -1.478
-6.398 -0.135 0.050
-8.589 -1.237 -1.952
```

## Properties
SG   No. 62

---

# 20
A relaxed structure of SmHoSi2Pd, computed with GGA-PBE.

Cell and atoms, written as POSCAR:
```
SmHoSi2Pd
1.0
-4.026 4.001 0.499
-3.283 1.994 4.209
9.577 3.432 -0.064
Ho Pd Si Sm
2 2 4 2
Cartesian
-5.607 6.559 4.671
7.875 2.867 -0.028
-0.679 2.098 1.271
2.947 7.329 3.372
-4.009 4.002 2.968
-0.089 4.390 2.392
2.357 5.036 2.251
6.277 5.425 1.675
-2.166 6.219 3.797
4.434 3.208 0.846
```

## Properties
SG   No. 12

---

# 21
A relaxed structure of HoCu, computed with GGA-PBE.

Cell and atoms, written as POSCAR:
```
HoCu
1.0
-2.892 -2.387 -2.268
-4.118 -0.405 1.443
-3.275 1.976 -2.138
Cu Ho
1 1
Cartesian
0.000 0.000 0.000
-2.571 -0.204 -0.741
```

## Properties
Formation enthalpy at 0 K   1.0 eV/f.u.
SG   No. 216

---

# 22
A relaxed structure of Li2Mg2In2CoIr, computed with GGA-PBE.

Cell and atoms, written as POSCAR:
```
Li2Mg2In2CoIr
1.0
4.501 0.000 0.000
0.000 4.501 0.000
0.000 0.000 6.359
Co In Ir Li Mg
1 2 1 2 2
Cartesian
2.251 2.251 3.180
0.000 2.251 1.661
2.251 0.000 4.698
0.000 0.000 0.000
2.251 2.251 0.000
0.000 0.000 3.180
2.251 0.000 1.592
0.000 2.251 4.767
```

## Properties
SG   No. 115

---

# 23
A relaxed structure of SiOsNO, computed with GGA-PBE.

Cell and atoms, written as POSCAR:
```
SiOsNO
1.0
-3.177 -1.718 -0.900
1.659 -1.511 -2.970
1.648 -4.812 3.368
N O Os Si
2 2 2 2
Cartesian
-0.189 -3.279 -0.770
1.078 -3.148 2.203
-1.589 -0.859 -0.450
0.829 -0.755 -1.485
-0.765 -3.265 1.234
1.653 -3.162 0.199
0.229 -0.669 0.468
0.660 -5.758 0.965
```

## Properties
SG   No. 129

---

# 24
A relaxed structure of Li6AgPd, computed with GGA-PBE.

Cell and atoms, written as POSCAR:
```
Li6AgPd
1.0
-2.999 -1.949 -2.481
-1.044 -2.617 3.318
-4.210 4.073 1.888
Ag Li Pd
1 6 1
Cartesian
-2.105 2.037 0.944
0.000 0.000 0.000
-2.506 0.000 -0.789
-1.529 -0.334 2.110
-4.126 -0.246 1.362
-4.702 2.125 0.196
-3.725 1.791 3.095
-2.021 -2.283 0.418
```

## Properties
SG   No. 123

---

# 25
A relaxed structure of HfAlAu2, computed with GGA-PBE.

Cell and atoms, written as POSCAR:
```
HfAlAu2
1.0
0.000 3.297 3.297
3.297 0.000 3.297
3.297 3.297 0.000
Al Au Hf
1 2 1
Cartesian
3.297 3.297 3.297
0.000 0.000 0.000
4.945 4.945 4.945
1.648 1.648 1.648
```

## Properties
SG   No. 216

---

Number 1: energy -4.107 eV per atom. Number 2: energy -4.050 eV per atom. Number 3: energy -4.123 eV per atom. Number 4: energy -6.489 eV per atom. Number 5: energy -5.187 eV per atom. Number 6: energy -3.553 eV per atom. Number 7: energy -4.062 eV per atom. Number 8: energy -5.815 eV per atom. Number 9: energy -6.415 eV per atom. Number 10: energy -6.580 eV per atom. Number 11: energy -4.795 eV per atom. Number 12: energy -4.432 eV per atom. Number 13: energy -5.424 eV per atom. Number 14: energy -6.387 eV per atom. Number 15: energy -4.687 eV per atom. Number 16: energy -5.909 eV per atom. Number 17: energy -2.727 eV per atom. Number 18: energy -4.706 eV per atom. Number 19: energy -8.229 eV per atom. Number 20: energy -5.969 eV per atom. Number 21: energy -3.636 eV per atom. Number 22: energy -3.779 eV per atom. Number 23: energy -7.342 eV per atom. Number 24: energy -2.656 eV per atom. Number 25: energy -5.362 eV per atom.